# Pr12Pd6Pt

A relaxed structure of Pr12Pd6Pt (PBE-GGA, the Alexandria database).

Summary:
Volume in Å³/f.u.: 606.0
ΔE_f in eV per atom: -0.486

Unit cell a=13.0278 b=13.0278 c=12.3688 alpha=90.00 beta=90.00 gamma=120.00
Space group R-3 (No. 148, hexagonal axes)
Symmetry-distinct sites (fractional):
Pr (0.0258, 0.8147, 0.3920) x18
Pr (0.0391, 0.8330, 0.8829) x18
Pd (0.0431, 0.7788, 0.6469) x18
Pt (0.0000, 0.0000, 0.0000) x3